Density functional theory data (PBE) for an optimized crystal structure of LiZrMo2.

DFT formation energy (eV/atom): 0.297
Density of states at the Fermi level (states/eV per cell): 3.9
Theoretical density (Mg/m³): 7.14
Space group: C2/m (12)
Crystal system: monoclinic

CIF file:
```
data_LiZrMo2
_space_group_name_H-M_alt 'P 1'
_space_group_IT_number 1
_cell_length_a 5.2990
_cell_length_b 5.5592
_cell_length_c 2.6769
_cell_angle_alpha 80.66
_cell_angle_beta 80.52
_cell_angle_gamma 115.91
loop_
_space_group_symop_operation_xyz
'x,y,z'
loop_
_atom_site_label
_atom_site_type_symbol
_atom_site_fract_x
_atom_site_fract_y
_atom_site_fract_z
Li1 Li 0.5000 0.5000 0.0000
Mo1 Mo 0.0000 0.0000 0.0000
Mo2 Mo 0.5000 0.0000 0.5000
Zr1 Zr 0.0000 0.5000 0.5000
```

Density functional theory data (PBE) for an optimized crystal structure of BaAlCdAg2.

DFT formation energy (eV/atom): -0.086
Density of states at the Fermi level (states/eV per cell): 2.6
Theoretical density (Mg/m³): 5.88
Space group: P4/mmm (123)
Crystal system: tetragonal

CIF file:
```
data_BaAlCdAg2
_space_group_name_H-M_alt 'P 1'
_space_group_IT_number 1
_cell_length_a 5.1281
_cell_length_b 5.1281
_cell_length_c 5.2889
_cell_angle_alpha 90.00
_cell_angle_beta 90.00
_cell_angle_gamma 90.00
loop_
_space_group_symop_operation_xyz
'x,y,z'
loop_
_atom_site_label
_atom_site_type_symbol
_atom_site_fract_x
_atom_site_fract_y
_atom_site_fract_z
Al1 Al 0.0000 0.0000 0.0000
Ba1 Ba 0.5000 0.5000 0.5000
Ag1 Ag 0.0000 0.5000 0.0000
Ag2 Ag 0.5000 0.0000 0.0000
Cd1 Cd 0.0000 0.0000 0.5000
```

Density functional theory data (PBE) for an optimized crystal structure of CaSc5Ga6.

DFT formation energy (eV/atom): -0.548
Density of states at the Fermi level (states/eV per cell): 5.8
Theoretical density (Mg/m³): 4.82
Space group: C2/m (12)
Crystal system: monoclinic

CIF file:
```
data_CaSc5Ga6
_space_group_name_H-M_alt 'P 1'
_space_group_IT_number 1
_cell_length_a 4.8334
_cell_length_b 6.7275
_cell_length_c 8.3678
_cell_angle_alpha 113.70
_cell_angle_beta 107.34
_cell_angle_gamma 90.00
loop_
_space_group_symop_operation_xyz
'x,y,z'
loop_
_atom_site_label
_atom_site_type_symbol
_atom_site_fract_x
_atom_site_fract_y
_atom_site_fract_z
Sc1 Sc 0.3347 0.8401 0.6801
Sc2 Sc 0.6760 0.6698 0.3396
Sc3 Sc 0.0000 0.5000 0.0000
Sc4 Sc 0.3240 0.3302 0.6604
Sc5 Sc 0.6653 0.1599 0.3199
Ca1 Ca 0.0000 0.0000 0.0000
Ga1 Ga 0.1788 0.4312 0.3426
Ga2 Ga 0.1788 0.9115 0.3426
Ga3 Ga 0.5000 0.2701 0.0000
Ga4 Ga 0.5000 0.7299 0.0000
Ga5 Ga 0.8212 0.0885 0.6574
Ga6 Ga 0.8212 0.5688 0.6574
```

Density functional theory data (PBE) for an optimized crystal structure of LaYOs2.

DFT formation energy (eV/atom): 0.209
Density of states at the Fermi level (states/eV per cell): 3.7
Theoretical density (Mg/m³): 11.32
Space group: P4mm (99)
Crystal system: tetragonal

CIF file:
```
data_LaYOs2
_space_group_name_H-M_alt 'P 1'
_space_group_IT_number 1
_cell_length_a 3.0716
_cell_length_b 3.0716
_cell_length_c 9.4592
_cell_angle_alpha 90.00
_cell_angle_beta 90.00
_cell_angle_gamma 90.00
loop_
_space_group_symop_operation_xyz
'x,y,z'
loop_
_atom_site_label
_atom_site_type_symbol
_atom_site_fract_x
_atom_site_fract_y
_atom_site_fract_z
La1 La 0.5000 0.5000 0.8037
Os1 Os 0.0000 0.0000 0.0528
Os2 Os 0.5000 0.5000 0.2095
Y1 Y 0.0000 0.0000 0.4340
```

Density functional theory data (PBE) for an optimized crystal structure of Pm2Al3Ge.

DFT formation energy (eV/atom): -0.581
Density of states at the Fermi level (states/eV per cell): 2.1
Theoretical density (Mg/m³): 5.39
Space group: Pmm2 (25)
Crystal system: orthorhombic

CIF file:
```
data_Pm2Al3Ge
_space_group_name_H-M_alt 'P 1'
_space_group_IT_number 1
_cell_length_a 4.1888
_cell_length_b 4.3414
_cell_length_c 7.5122
_cell_angle_alpha 90.00
_cell_angle_beta 90.00
_cell_angle_gamma 90.00
loop_
_space_group_symop_operation_xyz
'x,y,z'
loop_
_atom_site_label
_atom_site_type_symbol
_atom_site_fract_x
_atom_site_fract_y
_atom_site_fract_z
Pm1 Pm 0.0000 0.5000 0.0056
Pm2 Pm 0.0000 0.0000 0.4951
Al1 Al 0.5000 0.0000 0.8314
Al2 Al 0.5000 0.0000 0.1664
Al3 Al 0.5000 0.5000 0.6662
Ge1 Ge 0.5000 0.5000 0.3352
```

Density functional theory data (PBE) for an optimized crystal structure of Pb2C.

DFT formation energy (eV/atom): 1.447
Density of states at the Fermi level (states/eV per cell): 3.4
Theoretical density (Mg/m³): 10.57
Space group: I4/mcm (140)
Crystal system: tetragonal

CIF file:
```
data_Pb2C
_space_group_name_H-M_alt 'P 1'
_space_group_IT_number 1
_cell_length_a 5.5847
_cell_length_b 5.5847
_cell_length_c 5.5847
_cell_angle_alpha 108.38
_cell_angle_beta 108.38
_cell_angle_gamma 111.67
loop_
_space_group_symop_operation_xyz
'x,y,z'
loop_
_atom_site_label
_atom_site_type_symbol
_atom_site_fract_x
_atom_site_fract_y
_atom_site_fract_z
Pb1 Pb 0.1830 0.3170 0.5000
Pb2 Pb 0.8170 0.6830 0.5000
Pb3 Pb 0.6830 0.1830 0.8659
Pb4 Pb 0.3170 0.8170 0.1341
C1 C 0.7500 0.7500 0.0000
C2 C 0.2500 0.2500 0.0000
```

Density functional theory data (PBE) for an optimized crystal structure of Zr2InBr.

Formation energy without anion corrections (eV/atom): -0.166
Density of states at the Fermi level (states/eV per cell): 3.5
Theoretical density (Mg/m³): 6.76
Space group: Immm (71)
Crystal system: orthorhombic

CIF file:
```
data_Zr2InBr
_space_group_name_H-M_alt 'P 1'
_space_group_IT_number 1
_cell_length_a 5.9356
_cell_length_b 5.9356
_cell_length_c 5.9356
_cell_angle_alpha 148.21
_cell_angle_beta 121.58
_cell_angle_gamma 68.06
loop_
_space_group_symop_operation_xyz
'x,y,z'
loop_
_atom_site_label
_atom_site_type_symbol
_atom_site_fract_x
_atom_site_fract_y
_atom_site_fract_z
Br1 Br 0.7500 0.2500 0.5000
Zr1 Zr 0.9837 0.9837 0.0000
Zr2 Zr 0.5163 0.5163 0.0000
In1 In 0.2500 0.7500 0.5000
```

Density functional theory data (PBE) for an optimized crystal structure of CoSiP.

Formation energy without anion corrections (eV/atom): -0.227
Density of states at the Fermi level (states/eV per cell): 4.2
Theoretical density (Mg/m³): 5.15
Space group: Pnma (62)
Crystal system: orthorhombic

CIF file:
```
data_CoSiP
_space_group_name_H-M_alt 'P 1'
_space_group_IT_number 1
_cell_length_a 4.4654
_cell_length_b 5.9460
_cell_length_c 5.7290
_cell_angle_alpha 90.00
_cell_angle_beta 90.00
_cell_angle_gamma 90.00
loop_
_space_group_symop_operation_xyz
'x,y,z'
loop_
_atom_site_label
_atom_site_type_symbol
_atom_site_fract_x
_atom_site_fract_y
_atom_site_fract_z
P1 P 0.2500 0.2365 0.5990
P2 P 0.7500 0.2635 0.0990
P3 P 0.7500 0.7635 0.4010
P4 P 0.2500 0.7365 0.9010
Si1 Si 0.2500 0.9377 0.3239
Si2 Si 0.7500 0.5623 0.8239
Si3 Si 0.7500 0.0623 0.6761
Si4 Si 0.2500 0.4377 0.1761
Co1 Co 0.2500 0.0989 0.9685
Co2 Co 0.7500 0.4011 0.4685
Co3 Co 0.7500 0.9011 0.0315
Co4 Co 0.2500 0.5989 0.5315
```

Density functional theory data (PBE) for an optimized crystal structure of In2SeBr.

Formation energy without anion corrections (eV/atom): -0.361
Density of states at the Fermi level (states/eV per cell): 4.6
Theoretical density (Mg/m³): 4.91
Space group: I-42d (122)
Crystal system: tetragonal

CIF file:
```
data_In2SeBr
_space_group_name_H-M_alt 'P 1'
_space_group_IT_number 1
_cell_length_a 7.9035
_cell_length_b 7.9035
_cell_length_c 6.9935
_cell_angle_alpha 55.59
_cell_angle_beta 55.59
_cell_angle_gamma 90.00
loop_
_space_group_symop_operation_xyz
'x,y,z'
loop_
_atom_site_label
_atom_site_type_symbol
_atom_site_fract_x
_atom_site_fract_y
_atom_site_fract_z
Se1 Se 0.5000 0.5000 0.0000
Se2 Se 0.2500 0.7500 0.5000
Br1 Br 0.0000 0.0000 0.0000
Br2 Br 0.7500 0.2500 0.5000
In1 In 0.5986 0.1250 0.2500
In2 In 0.1514 0.6250 0.2500
In3 In 0.3750 0.4014 0.7500
In4 In 0.8750 0.8486 0.7500
```

Density functional theory data (PBE) for an optimized crystal structure of CaIr2Br.

Formation energy without anion corrections (eV/atom): 0.144
Density of states at the Fermi level (states/eV per cell): 1.4
Theoretical density (Mg/m³): 8.86
Space group: Imm2 (44)
Crystal system: orthorhombic

CIF file:
```
data_CaIr2Br
_space_group_name_H-M_alt 'P 1'
_space_group_IT_number 1
_cell_length_a 5.7841
_cell_length_b 5.7817
_cell_length_c 5.7818
_cell_angle_alpha 141.03
_cell_angle_beta 127.92
_cell_angle_gamma 66.92
loop_
_space_group_symop_operation_xyz
'x,y,z'
loop_
_atom_site_label
_atom_site_type_symbol
_atom_site_fract_x
_atom_site_fract_y
_atom_site_fract_z
Ca1 Ca 0.2508 0.7507 0.4999
Ir1 Ir 0.9136 0.9137 0.9997
Ir2 Ir 0.7665 0.2663 0.5001
Br1 Br 0.5694 0.5692 0.0003
```